Version w
! PBE Pu2ScTi, relaxed; values from VASP
&SYSTEM
  ibrav = 0, nat = 4, ntyp = 3
/
ATOMIC_SPECIES
Ti 47.87 Ti.upf
Sc 44.96 Sc.upf
Pu 244.00 Pu.upf
ATOMIC_POSITIONS angstrom
Ti -1.593 3.389 0.935
Sc -0.429 1.736 -1.427
Pu -1.994 0.242 0.894
Pu 0.829 1.411 1.468
CELL_PARAMETERS angstrom
-0.857 3.472 -2.854
-3.988 0.485 1.787
1.659 2.822 2.936
! * total magnetization: 10.55 μB/f.u.

***

Version x
! PBE Pu2ScTi, relaxed; values from VASP
&SYSTEM
  ibrav = 0, nat = 4, ntyp = 3
/
ATOMIC_SPECIES
Pu 244.00 Pu.upf
Ti 47.87 Ti.upf
Sc 44.96 Sc.upf
ATOMIC_POSITIONS angstrom
Pu 4.791 2.766 7.821
Pu 1.597 0.922 2.409
Ti 0.000 0.000 0.000
Sc 3.194 1.844 5.115
CELL_PARAMETERS angstrom
3.194 0.000 0.000
1.597 2.766 0.000
1.597 0.922 10.230
! * total magnetization: 11.11 μB/f.u.

***

In terms of stability, version w leads; the second structure lies 9 meV/atom higher.

***

Version w
! PBE PuSc2Ti, relaxed; values from VASP
&SYSTEM
  ibrav = 0, nat = 4, ntyp = 3
/
ATOMIC_SPECIES
Pu 244.00 Pu.upf
Sc 44.96 Sc.upf
Ti 47.87 Ti.upf
ATOMIC_POSITIONS angstrom
Pu -1.113 -1.425 -1.483
Sc -1.473 -0.447 1.535
Sc 1.219 -1.665 0.685
Ti -1.367 -3.537 0.736
CELL_PARAMETERS angstrom
-2.226 -2.851 -2.967
2.438 -3.329 1.369
-2.946 -0.894 3.070
! * total magnetization: 5.01 μB/f.u.

***

Version x
! PBE PuSc2Ti, relaxed; values from VASP
&SYSTEM
  ibrav = 0, nat = 4, ntyp = 3
/
ATOMIC_SPECIES
Sc 44.96 Sc.upf
Ti 47.87 Ti.upf
Pu 244.00 Pu.upf
ATOMIC_POSITIONS angstrom
Sc -0.926 1.868 0.165
Ti -1.712 -0.745 -1.169
Sc -3.202 6.463 0.571
Pu -3.776 3.421 -0.801
CELL_PARAMETERS angstrom
-0.726 -0.093 -3.028
-2.697 -1.397 0.690
-4.128 8.332 0.735
! * total magnetization: 6.04 μB/f.u.

***

In terms of stability, version x leads; the second structure lies 22 meV/atom higher.

***

Version w
! PBE PuScTl, relaxed; values from VASP
&SYSTEM
  ibrav = 0, nat = 6, ntyp = 3
/
ATOMIC_SPECIES
Sc 44.96 Sc.upf
Pu 244.00 Pu.upf
Tl 204.38 Tl.upf
ATOMIC_POSITIONS angstrom
Sc 5.188 2.995 12.644
Pu 1.729 0.998 7.572
Sc 1.729 0.998 1.255
Tl 3.459 1.997 3.720
Pu 5.188 2.995 6.328
Tl 3.459 1.997 10.179
CELL_PARAMETERS angstrom
3.459 0.000 0.000
1.729 2.995 0.000
1.729 0.998 13.899
! * total magnetization: 0.49 μB/f.u.

***

Version x
! PBE PuScTl, relaxed; values from VASP
&SYSTEM
  ibrav = 0, nat = 6, ntyp = 3
/
ATOMIC_SPECIES
Tl 204.38 Tl.upf
Pu 244.00 Pu.upf
Sc 44.96 Sc.upf
ATOMIC_POSITIONS angstrom
Tl -3.375 -2.117 -1.658
Pu -0.345 -3.699 -1.681
Sc -1.486 -1.458 0.634
Sc -3.335 -5.117 -0.830
Pu -0.384 -0.700 -2.511
Tl -1.447 -4.458 1.463
CELL_PARAMETERS angstrom
-4.131 0.823 3.167
-0.768 -1.400 -5.022
0.078 -5.999 1.660
! * total magnetization: 6.17 μB/f.u.

***

In terms of stability, version x leads; the second structure lies 125 meV/atom higher.

***

Version w
! PBE PuScTl, relaxed; values from VASP
&SYSTEM
  ibrav = 0, nat = 3, ntyp = 3
/
ATOMIC_SPECIES
Sc 44.96 Sc.upf
Pu 244.00 Pu.upf
Tl 204.38 Tl.upf
ATOMIC_POSITIONS angstrom
Sc -1.134 0.630 2.749
Pu -2.478 2.775 0.448
Tl -0.528 -0.016 -0.098
CELL_PARAMETERS angstrom
-3.341 -0.102 -0.621
-0.855 -1.548 4.851
0.056 5.038 -1.131
! * total magnetization: 6.34 μB/f.u.

***

Version x
! PBE PuScTl, relaxed; values from VASP
&SYSTEM
  ibrav = 0, nat = 3, ntyp = 3
/
ATOMIC_SPECIES
Sc 44.96 Sc.upf
Pu 244.00 Pu.upf
Tl 204.38 Tl.upf
ATOMIC_POSITIONS angstrom
Sc 0.000 0.000 3.997
Pu 1.676 1.676 1.599
Tl 1.676 1.676 6.049
CELL_PARAMETERS angstrom
3.351 0.000 0.000
0.000 3.351 0.000
-1.676 -1.676 6.850
! * total magnetization: 5.88 μB/f.u.

***

In terms of stability, version x leads; the second structure lies 14 meV/atom higher.

***

Version w
! PBE Tm2PuSc, relaxed; values from VASP
&SYSTEM
  ibrav = 0, nat = 4, ntyp = 3
/
ATOMIC_SPECIES
Tm 168.93 Tm.upf
Pu 244.00 Pu.upf
Sc 44.96 Sc.upf
ATOMIC_POSITIONS angstrom
Tm 0.000 2.397 0.000
Pu 2.421 0.000 0.000
Tm 0.000 0.000 2.397
Sc 2.421 2.397 2.397
CELL_PARAMETERS angstrom
4.842 0.000 0.000
0.000 4.793 0.000
0.000 0.000 4.793
! * total magnetization: 6.35 μB/f.u.

***

Version x
! PBE Tm2PuSc, relaxed; values from VASP
&SYSTEM
  ibrav = 0, nat = 4, ntyp = 3
/
ATOMIC_SPECIES
Tm 168.93 Tm.upf
Pu 244.00 Pu.upf
Sc 44.96 Sc.upf
ATOMIC_POSITIONS angstrom
Tm -2.717 -0.826 1.935
Tm -4.304 -3.058 6.557
Pu -3.777 0.676 -0.953
Sc -5.393 -1.596 3.752
CELL_PARAMETERS angstrom
-2.749 2.041 0.041
-2.910 -1.018 -1.490
-5.135 -4.226 8.977
! * total magnetization: 5.67 μB/f.u.

***

Version y
! PBE Tm2PuSc, relaxed; values from VASP
&SYSTEM
  ibrav = 0, nat = 4, ntyp = 3
/
ATOMIC_SPECIES
Tm 168.93 Tm.upf
Sc 44.96 Sc.upf
Pu 244.00 Pu.upf
ATOMIC_POSITIONS angstrom
Tm -2.242 -2.610 0.293
Sc -4.418 -5.150 0.507
Tm -6.593 -7.690 0.721
Pu 0.000 0.000 0.000
CELL_PARAMETERS angstrom
-2.380 -0.444 -2.393
0.209 -2.640 -2.139
-6.664 -7.216 5.546
! * total magnetization: 5.86 μB/f.u.

***

Version z
! PBE Tm2PuSc, relaxed; values from VASP
&SYSTEM
  ibrav = 0, nat = 16, ntyp = 3
/
ATOMIC_SPECIES
Sc 44.96 Sc.upf
Tm 168.93 Tm.upf
Pu 244.00 Pu.upf
ATOMIC_POSITIONS angstrom
Sc 2.420 3.958 0.000
Tm 2.420 1.018 5.147
Pu 5.150 2.016 0.000
Sc 2.420 9.918 3.437
Pu 2.420 3.944 3.438
Sc 5.150 7.961 6.874
Sc 5.150 2.001 3.438
Tm 5.150 4.941 1.709
Tm 2.420 6.978 5.165
Pu 2.420 9.904 6.874
Pu 5.150 7.975 3.437
Tm 2.420 6.978 1.709
Tm 5.150 10.901 5.146
Tm 2.420 1.018 1.729
Tm 5.150 4.942 5.166
Tm 5.150 10.901 1.728
CELL_PARAMETERS angstrom
5.460 0.000 0.000
0.000 11.919 0.000
0.000 0.000 6.874
! * total magnetization: 6.47 μB/f.u.

***

In terms of stability, version x leads; the second structure lies 16 meV/atom higher.

***

Version w
! PBE Tm2PuSc, relaxed; values from VASP
&SYSTEM
  ibrav = 0, nat = 16, ntyp = 3
/
ATOMIC_SPECIES
Tm 168.93 Tm.upf
Pu 244.00 Pu.upf
Sc 44.96 Sc.upf
ATOMIC_POSITIONS angstrom
Tm 0.895 2.730 14.342
Tm 0.896 3.865 0.586
Pu 2.684 6.498 9.160
Sc 0.895 6.554 11.671
Tm 2.684 3.836 11.523
Sc 2.685 4.997 6.493
Pu 0.894 5.053 9.004
Tm 2.686 6.788 0.905
Sc 0.895 2.704 5.616
Tm 2.685 4.971 -2.233
Pu 0.896 1.202 2.949
Tm 0.894 0.913 11.204
Sc 2.685 1.147 0.438
Tm 0.895 5.682 3.725
Pu 2.686 2.648 3.105
Tm 2.685 2.019 8.385
CELL_PARAMETERS angstrom
3.580 0.000 0.000
0.000 6.802 -4.563
0.000 0.898 16.672
! * total magnetization: 0.00 μB/f.u.

***

Version x
! PBE Tm2PuSc, relaxed; values from VASP
&SYSTEM
  ibrav = 0, nat = 4, ntyp = 3
/
ATOMIC_SPECIES
Sc 44.96 Sc.upf
Tm 168.93 Tm.upf
Pu 244.00 Pu.upf
ATOMIC_POSITIONS angstrom
Sc 1.690 1.690 0.000
Tm 0.000 0.000 2.380
Pu 1.690 1.690 4.872
Tm 0.000 0.000 7.364
CELL_PARAMETERS angstrom
3.380 0.000 0.000
0.000 3.380 0.000
0.000 0.000 9.744
! * total magnetization: 6.00 μB/f.u.

***

In terms of stability, version x leads; the second structure lies 37 meV/atom higher.

***

Version w
! PBE TmPu2Sc, relaxed; values from VASP
&SYSTEM
  ibrav = 0, nat = 4, ntyp = 3
/
ATOMIC_SPECIES
Sc 44.96 Sc.upf
Tm 168.93 Tm.upf
Pu 244.00 Pu.upf
ATOMIC_POSITIONS angstrom
Sc 1.646 1.646 0.000
Tm 1.646 1.646 4.910
Pu 0.000 0.000 2.365
Pu 0.000 0.000 7.454
CELL_PARAMETERS angstrom
3.293 0.000 0.000
0.000 3.293 0.000
0.000 0.000 9.820
! * total magnetization: 12.37 μB/f.u.

***

Version x
! PBE TmPu2Sc, relaxed; values from VASP
&SYSTEM
  ibrav = 0, nat = 4, ntyp = 3
/
ATOMIC_SPECIES
Tm 168.93 Tm.upf
Sc 44.96 Sc.upf
Pu 244.00 Pu.upf
ATOMIC_POSITIONS angstrom
Tm 3.954 -11.118 -0.084
Sc -0.250 -7.843 2.074
Pu 0.535 -3.498 0.471
Pu 3.556 -7.816 -0.605
CELL_PARAMETERS angstrom
-0.804 -1.295 2.941
-2.671 -1.939 0.282
5.203 -10.170 -1.191
! * total magnetization: 11.45 μB/f.u.

***

In terms of stability, version w leads; the second structure lies 62 meV/atom higher.

***

Version w
! PBE Tm2PuSc6, relaxed; values from VASP
&SYSTEM
  ibrav = 0, nat = 9, ntyp = 3
/
ATOMIC_SPECIES
Sc 44.96 Sc.upf
Pu 244.00 Pu.upf
Tm 168.93 Tm.upf
ATOMIC_POSITIONS angstrom
Sc -3.829 0.570 -2.621
Sc -3.472 -2.470 -3.800
Sc -4.304 -6.004 0.533
Sc -5.415 -3.616 -1.365
Pu 0.000 0.000 0.000
Tm -2.669 0.092 -5.658
Tm -5.464 -5.525 3.570
Sc -2.718 -1.817 -0.724
Sc -4.661 -2.963 1.712
CELL_PARAMETERS angstrom
-3.043 1.294 0.470
-0.726 1.233 -8.086
-4.364 -7.960 5.528
! * total magnetization: 6.30 μB/f.u.

***

Version x
! PBE Tm2PuSc6, relaxed; values from VASP
&SYSTEM
  ibrav = 0, nat = 9, ntyp = 3
/
ATOMIC_SPECIES
Sc 44.96 Sc.upf
Pu 244.00 Pu.upf
Tm 168.93 Tm.upf
ATOMIC_POSITIONS angstrom
Sc 1.258 -9.481 2.808
Sc -0.996 -4.127 3.656
Pu -1.090 -3.614 1.145
Sc -0.115 -8.130 5.766
Tm -1.281 -7.419 2.794
Sc 1.598 -6.036 3.499
Tm -0.282 -11.474 5.110
Sc 0.821 -1.907 1.252
Sc 0.460 -5.559 0.520
CELL_PARAMETERS angstrom
-3.309 -4.044 4.379
-0.657 -6.653 -1.334
3.725 -4.631 3.844
! * total magnetization: 4.46 μB/f.u.

***

In terms of stability, version w leads; the second structure lies 281 meV/atom higher.